(A)
## Li3Ni4O8 (PBE+U)

Data for a geometry-optimized Li3Ni4O8 structure.

a b c (Å): 5.800 5.800 5.649
angles (deg): 61.37 61.37 58.83
Last column: magnetic moment on the atom in μB.
Positions (direct):
Li  0.500  0.500  0.000  0.00
Li  0.000  0.500  0.500  0.00
Li  0.500  0.000  0.500  0.00
Ni  0.000  0.500  0.000  1.12
Ni  0.500  0.000  0.000  1.12
Ni  0.000  0.000  0.500  1.09
Ni  0.000  0.000  0.000  0.03
O  0.778  0.778  0.208  -0.06
O  0.222  0.222  0.792  -0.06
O  0.747  0.747  0.782  -0.08
O  0.253  0.253  0.218  -0.08
O  0.779  0.222  0.246  0.00
O  0.222  0.779  0.246  0.00
O  0.778  0.221  0.754  0.00
O  0.221  0.778  0.754  0.00

Output
- V (Å³/cell) = 135.8


(B)
## Li3Ni4O8 (PBE+U)

Data for a geometry-optimized Li3Ni4O8 structure.

a b c (Å): 5.773 5.773 5.602
angles (deg): 61.71 61.71 93.28
Last column: magnetic moment on the atom in μB.
Positions (direct):
Li  0.500  0.000  0.500  0.00
Li  0.000  0.500  0.500  0.00
Li  0.500  0.500  0.500  0.00
Ni  0.500  0.000  0.000  1.64
Ni  0.000  0.000  0.000  0.03
Ni  0.000  0.500  0.000  1.64
Ni  0.000  0.000  0.500  0.04
O  0.773  0.227  0.500  -0.05
O  0.780  0.780  0.968  0.02
O  0.777  0.223  0.000  -0.08
O  0.779  0.779  0.463  -0.01
O  0.221  0.221  0.537  -0.01
O  0.223  0.777  0.000  -0.08
O  0.220  0.220  0.032  0.02
O  0.227  0.773  0.500  -0.05

Output
- V (Å³/cell) = 134.9


Energy relative to the most stable one, in kJ/mol of atoms: (A) 0.0; (B) 4.0


(A)
## Li2Ni2O3 (PBE+U)

Data for a geometry-optimized Li2Ni2O3 structure.

a b c (Å): 2.968 5.182 5.113
angles (deg): 107.63 90.00 106.63
Last column: magnetic moment on the atom in μB.
Positions (direct):
Li  0.831  0.662  0.662  0.01
Li  0.169  0.338  0.338  0.01
Ni  0.621  0.243  0.889  1.75
Ni  0.379  0.757  0.111  1.75
O  0.000  0.000  0.000  0.10
O  0.785  0.570  0.265  0.13
O  0.215  0.430  0.735  0.13

Output
- V (Å³/cell) = 71.5


(B)
## Li2Ni2O3 (PBE+U)

Data for a geometry-optimized Li2Ni2O3 structure.

a b c (Å): 3.248 3.248 6.814
angles (deg): 101.45 98.14 106.66
Last column: magnetic moment on the atom in μB.
Positions (direct):
Li  0.704  0.387  0.091  0.00
Li  0.296  0.613  0.909  0.00
Ni  0.227  0.110  0.338  1.76
Ni  0.773  0.890  0.662  1.76
O  0.000  0.000  0.000  0.06
O  0.370  0.285  0.655  0.15
O  0.630  0.715  0.345  0.15

Output
- V (Å³/cell) = 66.0


Energy relative to the most stable one, in kJ/mol of atoms: (A) 0.0; (B) 9.4